(1)
First-principles (PBE) data for RbNbTe2 after structural relaxation, as listed in Alexandria.

Properties
Calculated volume, Å³/atom: 41.32
Final energy, eV per cell: -74.95
Density, kg/m³: 4357

Cell lengths 8.318, 8.318, 9.554 Å; angles 90.00, 90.00, 90.00 degrees
Space group I-42d (No. 122)
Asymmetric unit:
Rb  0.000  0.000  0.000
Nb  0.000  0.000  0.500
Te  0.158  0.250  0.625

(2)
First-principles (PBE) data for ReSbTe2Se after structural relaxation, as listed in Alexandria.

Properties
Calculated volume, Å³/atom: 31.29
Offset from the most stable computed form, eV per atom: 0.887
Final energy, eV per cell: -18.55
Density, kg/m³: 6816

Cell lengths 5.359, 5.359, 5.447 Å; angles 90.00, 90.00, 90.00 degrees
Space group P4/mmm (No. 123)
Asymmetric unit:
Re  0.000  0.000  0.000
Sb  0.500  0.500  0.000
Te  0.000  0.500  0.500
Se  0.500  0.500  0.500

(3)
First-principles (PBE) data for AsPbI after structural relaxation, as listed in Alexandria.

Properties
Calculated volume, Å³/atom: 37.89
Offset from the most stable computed form, eV per atom: 0.204
Final energy, eV per cell: -40.28
Density, kg/m³: 5975

Cell lengths 4.731, 4.863, 19.762 Å; angles 90.00, 90.00, 90.00 degrees
Space group Immm (No. 71)
Asymmetric unit:
As  0.000  0.244  0.000
Pb  0.000  0.500  0.135
I  0.000  0.500  0.325

(4)
First-principles (PBE) data for BaReAs2 after structural relaxation, as listed in Alexandria.

Properties
Calculated volume, Å³/atom: 21.06
Offset from the most stable computed form, eV per atom: 0.655
Final energy, eV per cell: -88.32
Density, kg/m³: 9333
Energy of formation from the pure elements, meV/atom: 398

Cell lengths 6.958, 6.958, 6.958 Å; angles 90.00, 90.00, 90.00 degrees
Space group Fm-3m (No. 225)
Asymmetric unit:
Ba  0.000  0.000  0.000
Re  0.000  0.000  0.500
As  0.250  0.250  0.250

(5)
First-principles (PBE) data for K3NbTl2Se6 after structural relaxation, as listed in Alexandria.

Properties
Calculated volume, Å³/atom: 29.35
Final energy, eV per cell: -96.71
Density, kg/m³: 5152

Cell lengths 7.374, 12.762, 7.885 Å; angles 90.00, 108.33, 90.00 degrees
Space group C2/m (No. 12)
Asymmetric unit:
K  0.000  0.000  0.000
K  0.000  0.323  0.000
Nb  0.000  0.500  0.500
Tl  0.000  0.165  0.500
Se  0.214  0.353  0.700
Se  0.224  0.500  0.298

(6)
First-principles (PBE) data for PmHo3Ge3 after structural relaxation, as listed in Alexandria.

Properties
Calculated volume, Å³/atom: 27.84
Final energy, eV per cell: -72.66
Density, kg/m³: 7309
Energy of formation from the pure elements, meV/atom: -571

Cell lengths 8.9372, 8.9372, 5.6340 Å; angles 90.00, 90.00, 120.00 degrees
Space group P6_3/m (No. 176)
Asymmetric unit:
Pm  0.3333  0.6667  0.2500
Ho  0.0196  0.7035  0.7500
Ge  0.0147  0.3641  0.7500

(7)
First-principles (PBE) data for ZnInAs2 after structural relaxation, as listed in Alexandria.

Properties
Calculated volume, Å³/atom: 23.10
Final energy, eV per cell: -13.24
Density, kg/m³: 5932
Energy of formation from the pure elements, meV/atom: 18

Cell lengths 3.356, 3.967, 6.939 Å; angles 90.00, 90.00, 90.00 degrees
Space group Pmm2 (No. 25)
Asymmetric unit:
Zn  0.000  0.000  0.000
In  0.500  0.500  0.517
As  0.000  0.000  0.361
As  0.500  0.500  0.902

(8)
First-principles (PBE) data for Ba2GaTc after structural relaxation, as listed in Alexandria.

Properties
Calculated volume, Å³/atom: 41.37
Final energy, eV per cell: -63.80
Density, kg/m³: 4439
Energy of formation from the pure elements, meV/atom: 322

Cell lengths 11.548, 11.548, 4.964 Å; angles 90.00, 90.00, 90.00 degrees
Space group I-42d (No. 122)
Asymmetric unit:
Ba  0.040  0.250  0.125
Ga  0.000  0.000  0.500
Tc  0.000  0.000  0.000

(9)
First-principles (PBE) data for ReRh after structural relaxation, as listed in Alexandria.

Properties
Calculated volume, Å³/atom: 14.96
Offset from the most stable computed form, eV per atom: 0.249
Final energy, eV per cell: -78.62
Density, kg/m³: 16041
Energy of formation from the pure elements, meV/atom: 72

Cell lengths 2.716, 4.413, 9.988 Å; angles 90.00, 90.00, 90.00 degrees
Space group Pmmm (No. 47)
Asymmetric unit:
Re  0.000  0.000  0.126
Re  0.000  0.500  0.262
Rh  0.500  0.000  0.356
Rh  0.500  0.500  0.000
Rh  0.500  0.500  0.500

(10)
First-principles (PBE) data for Pr3NdOs after structural relaxation, as listed in Alexandria.

Properties
Calculated volume, Å³/atom: 33.53
Offset from the most stable computed form, eV per atom: 0.000
Final energy, eV per cell: -122.52
Density, kg/m³: 7500
Energy of formation from the pure elements, meV/atom: -59

Cell lengths 12.265, 8.903, 8.506 Å; angles 90.00, 133.78, 90.00 degrees
Space group C2/m (No. 12)
Asymmetric unit:
Pr  0.052  0.000  0.348
Pr  0.249  0.303  0.796
Nd  0.051  0.500  0.253
Os  0.249  0.500  0.129

(11)
First-principles (PBE) data for RbNa after structural relaxation, as listed in Alexandria.

Properties
Calculated volume, Å³/atom: 61.08
Final energy, eV per cell: -4.44
Density, kg/m³: 1474
Energy of formation from the pure elements, meV/atom: 34

Cell lengths 4.850, 7.085, 8.217 Å; angles 113.97, 107.06, 90.06 degrees
Space group P-1 (No. 2)
Asymmetric unit:
Rb  0.107  0.354  0.212
Na  0.343  0.095  0.686

(12)
First-principles (PBE) data for Ca3Mg2Pd3 after structural relaxation, as listed in Alexandria.

Properties
Calculated volume, Å³/atom: 22.69
Final energy, eV per cell: -59.10
Density, kg/m³: 4465
Energy of formation from the pure elements, meV/atom: -597

Cell lengths 8.4643, 8.4643, 5.8517 Å; angles 90.00, 90.00, 120.00 degrees
Space group P6_3/mcm (No. 193)
Asymmetric unit:
Ca  0.0000  0.2659  0.2500
Mg  0.3333  0.6667  0.0000
Pd  0.0000  0.4031  0.7500

(13)
First-principles (PBE) data for LiAgOsO4 after structural relaxation, as listed in Alexandria.

Properties
Calculated volume, Å³/atom: 16.78
Final energy, eV per cell: -84.35
Density, kg/m³: 5218

Cell lengths 5.138, 5.138, 8.897 Å; angles 90.00, 90.00, 90.00 degrees
Space group I-4 (No. 82)
Asymmetric unit:
Li  0.000  0.000  0.000
Ag  0.000  0.000  0.500
Os  0.000  0.500  0.250
O  0.166  0.274  0.125

(14)
First-principles (PBE) data for NaSiAg2 after structural relaxation, as listed in Alexandria.

Properties
Calculated volume, Å³/atom: 17.98
Final energy, eV per cell: -11.71
Density, kg/m³: 6160

Cell lengths 4.484, 4.484, 3.578 Å; angles 90.00, 90.00, 90.00 degrees
Space group P4/mmm (No. 123)
Asymmetric unit:
Na  0.000  0.000  0.000
Si  0.500  0.500  0.000
Ag  0.000  0.500  0.500

(15)
First-principles (PBE) data for Rb2SrCd2Te4 after structural relaxation, as listed in Alexandria.

Properties
Calculated volume, Å³/atom: 39.14
Final energy, eV per cell: -53.69
Density, kg/m³: 4685

Cell lengths 17.811, 4.708, 8.902 Å; angles 90.00, 109.31, 90.00 degrees
Space group C2/m (No. 12)
Asymmetric unit:
Rb  0.124  0.000  0.053
Sr  0.000  0.000  0.500
Cd  0.170  0.500  0.478
Te  0.018  0.500  0.251
Te  0.207  0.000  0.686

(16)
First-principles (PBE) data for CdCo2PdN after structural relaxation, as listed in Alexandria.

Properties
Calculated volume, Å³/atom: 12.65
Final energy, eV per cell: -28.37
Density, kg/m³: 9204

Cell lengths 3.809, 3.809, 4.361 Å; angles 90.00, 90.00, 90.00 degrees
Space group P4/mmm (No. 123)
Asymmetric unit:
Cd  0.000  0.000  0.000
Co  0.000  0.500  0.500
Pd  0.500  0.500  0.000
N  0.500  0.500  0.500

(17)
First-principles (PBE) data for Tb2ScGe4Pt3 after structural relaxation, as listed in Alexandria.

Properties
Calculated volume, Å³/atom: 19.54
Final energy, eV per cell: -61.34
Density, kg/m³: 10525
Energy of formation from the pure elements, meV/atom: -916

Cell lengths 4.165, 4.165, 11.262 Å; angles 90.00, 90.00, 90.00 degrees
Space group P-4m2 (No. 115)
Asymmetric unit:
Tb  0.000  0.500  0.245
Sc  0.000  0.000  0.500
Ge  0.000  0.000  0.000
Ge  0.000  0.500  0.651
Ge  0.500  0.500  0.000
Pt  0.000  0.500  0.871
Pt  0.500  0.500  0.500

(18)
First-principles (PBE) data for ScU2PaC4 after structural relaxation, as listed in Alexandria.

Properties
Calculated volume, Å³/atom: 15.01
Final energy, eV per cell: -77.67
Density, kg/m³: 11063
Energy of formation from the pure elements, meV/atom: -296

Cell lengths 5.967, 3.515, 6.089 Å; angles 90.00, 109.87, 90.00 degrees
Space group P2/m (No. 10)
Asymmetric unit:
Sc  0.000  0.000  0.000
U  0.500  0.000  0.500
U  0.500  0.500  0.000
Pa  0.000  0.500  0.500
C  0.264  0.000  0.764
C  0.265  0.500  0.253

(19)
First-principles (PBE) data for NaYPO4F after structural relaxation, as listed in Alexandria.

Properties
Calculated volume, Å³/atom: 12.44
Final energy, eV per cell: -233.76
Density, kg/m³: 3769

Cell lengths 9.037, 7.009, 6.539 Å; angles 90.00, 106.02, 90.00 degrees
Space group C2/m (No. 12)
Asymmetric unit:
Na  0.000  0.207  0.000
Y  0.218  0.000  0.617
P  0.154  0.500  0.776
O  0.017  0.500  0.229
O  0.195  0.325  0.655
O  0.244  0.000  0.992
F  0.018  0.000  0.310

(20)
First-principles (PBE) data for Pr2ThGe after structural relaxation, as listed in Alexandria.

Properties
Calculated volume, Å³/atom: 28.40
Offset from the most stable computed form, eV per atom: 0.007
Final energy, eV per cell: -22.72
Density, kg/m³: 8573
Energy of formation from the pure elements, meV/atom: -281

Cell lengths 4.847, 4.847, 4.835 Å; angles 90.00, 90.00, 90.00 degrees
Space group P4/mmm (No. 123)
Asymmetric unit:
Pr  0.000  0.500  0.000
Th  0.000  0.000  0.500
Ge  0.500  0.500  0.500